Li8Pd2Rh: relaxed, PBE-GGA.

Geometry as extended XYZ:
```
11
Lattice="4.211 0.000 -1.282 -1.090 6.306 -3.581 -0.283 -0.547 6.630" Properties=species:S:1:pos:R:3 pbc="T T T"
Li 1.111 0.580 3.651
Pd 0.031 4.327 0.102
Li 2.499 5.066 0.652
Li 3.176 3.804 2.878
Li 0.340 0.692 1.116
Rh 2.105 0.000 -0.641
Li 1.727 5.178 -1.884
Pd 2.808 1.431 1.666
Li 0.680 3.073 2.236
Li 2.158 2.686 -0.468
Li -0.338 1.955 -1.110
```

final energy	-3.22	eV per atom